The following is a GGA-PBE calculation of CsIO2 after structural relaxation, from the Alexandria database.

Structure (POSCAR):
```
CsIO2
1.0
-2.840 2.840 6.488
2.840 -2.840 6.488
2.840 2.840 -6.488
Cs I O
2 2 4
direct
0.000 0.000 0.000
0.750 0.250 0.500
0.250 0.750 0.500
0.500 0.500 0.000
0.278 0.625 0.153
0.375 0.528 0.653
0.472 0.125 0.847
0.875 0.722 0.347
```

***

LiPmErSc (GGA-PBE, relaxed); E_form = 0.15 eV per atom
1.0
0.000 3.794 3.794
3.794 0.000 3.794
3.794 3.794 0.000
Li Pm Er Sc
1 1 1 1
direct
0.000 0.000 0.000
0.750 0.750 0.750
0.250 0.250 0.250
0.500 0.500 0.500

***

The following is a GGA-PBE calculation of Pr4Nd2Sb3N2 after structural relaxation, from the Alexandria database.

Structure (POSCAR):
```
Pr4Nd2Sb3N2
1.0
-2.427 2.427 13.119
2.427 -2.427 13.119
2.427 2.427 -13.119
Pr Nd Sb N
4 2 3 2
direct
0.083 0.583 0.500
0.417 0.917 0.500
0.583 0.083 0.500
0.917 0.417 0.500
0.193 0.193 0.000
0.807 0.807 0.000
0.321 0.321 0.000
0.500 0.500 0.000
0.679 0.679 0.000
0.105 0.105 0.000
0.895 0.895 0.000
```

***

The following is a GGA-PBE calculation of CsSO4 after structural relaxation, from the Alexandria database.

Structure (POSCAR):
```
CsSO4
1.0
1.668 -8.416 0.000
1.668 8.416 0.000
0.000 0.000 7.427
Cs S O
2 2 8
direct
0.119 0.881 0.750
0.881 0.119 0.250
0.370 0.630 0.750
0.630 0.370 0.250
0.079 0.921 0.250
0.324 0.676 0.585
0.324 0.676 0.915
0.500 0.500 0.000
0.500 0.500 0.500
0.676 0.324 0.085
0.676 0.324 0.415
0.921 0.079 0.750
```

***

CoRh (GGA-PBE, relaxed); E_form = 0.17 eV per atom
1.0
2.745 0.000 0.000
0.000 2.159 6.606
0.000 -2.159 6.606
Co Rh
3 3
direct
0.000 0.000 0.000
0.000 0.338 0.338
0.500 0.477 0.477
0.000 0.635 0.635
0.500 0.177 0.177
0.500 0.825 0.825

***

The following is a GGA-PBE calculation of Y3InN after structural relaxation, from the Alexandria database.

Structure (POSCAR):
```
Y3InN
1.0
6.149 -3.384 0.000
6.149 3.384 0.000
-2.554 0.000 5.699
Y In N
6 2 2
direct
0.000 0.000 0.000
0.007 0.508 0.072
0.256 0.779 0.517
0.279 0.279 0.612
0.508 0.007 0.072
0.779 0.256 0.517
0.520 0.520 0.051
0.751 0.751 0.565
0.136 0.136 0.792
0.902 0.902 0.235
```

***

The following volume values (in Å³/cell) correspond, in order, to the records above: 209; 109; 309; 209; 78; 237.
The following total energy values (in eV/atom) correspond, in order, to the records above: -3.531; -4.239; -6.359; -4.825; -7.060; -6.907.